# 1
Material: Ce2Pm2AlGe4
Method: DFT, PBE
State: optimized geometry

Cell lengths 6.6425, 6.6425, 6.6425 Å; angles 114.69, 114.69, 99.47 degrees
Atoms (fractional coordinates):
Ce (0.1737, 0.1737, 0.0000)
Ce (0.8263, 0.8263, 0.0000)
Pm (0.2500, 0.7500, 0.5000)
Pm (0.7500, 0.2500, 0.5000)
Al (0.5000, 0.5000, 0.0000)
Ge (0.2551, 0.2551, 0.5102)
Ge (0.2551, 0.7449, 0.0000)
Ge (0.7449, 0.2551, 0.0000)
Ge (0.7449, 0.7449, 0.4898)

Results
- ρ: 6.7 g/cm³
- SG: I4/mmm, No. 139
- D(E_F): 1.254 states/eV per atom
- Energy of formation from the pure elements: -2.8 eV per formula unit
- Magnetic moment: 1.78 Bohr magnetons per cell

---

# 2
Material: V2Mo5
Method: DFT, PBE
State: optimized geometry

Cell lengths 7.3498, 7.3498, 5.9164 Å; angles 90.72, 90.72, 42.54 degrees
Atoms (fractional coordinates):
V (0.0545, 0.8070, 0.8914)
V (0.1930, 0.9455, 0.6086)
V (0.8070, 0.0545, 0.3914)
V (0.9455, 0.1930, 0.1086)
Mo (0.0907, 0.3310, 0.8257)
Mo (0.2311, 0.4851, 0.5404)
Mo (0.3310, 0.0907, 0.3257)
Mo (0.3662, 0.6338, 0.2500)
Mo (0.4851, 0.2311, 0.0404)
Mo (0.5149, 0.7689, 0.9596)
Mo (0.6338, 0.3662, 0.7500)
Mo (0.6690, 0.9093, 0.6743)
Mo (0.7689, 0.5149, 0.4596)
Mo (0.9093, 0.6690, 0.1743)

Results
- ρ: 8.9 g/cm³
- SG: C2/c, No. 15
- D(E_F): 1.024 states/eV per atom
- Polymorph energy (0 for the lowest one): 272.4 meV/atom
- Energy of formation from the pure elements: 1.1 eV per formula unit
- Magnetic moment: 0.00 Bohr magnetons per cell

---

# 3
Material: Li3GeAu4
Method: DFT, PBE
State: optimized geometry

Cell lengths 8.9655, 6.3669, 4.4836 Å; angles 90.00, 90.00, 90.00 degrees
Atoms (fractional coordinates):
Li (0.0000, 0.0000, 0.0000)
Li (0.2500, 0.0000, 0.4989)
Li (0.2500, 0.5000, 0.4987)
Li (0.5000, 0.0000, 0.0000)
Li (0.7500, 0.0000, 0.5011)
Li (0.7500, 0.5000, 0.5013)
Ge (0.0000, 0.5000, 0.0000)
Ge (0.5000, 0.5000, 0.0000)
Au (0.0000, 0.2411, 0.5000)
Au (0.0000, 0.7589, 0.5000)
Au (0.2500, 0.2412, 0.9987)
Au (0.2500, 0.7588, 0.9987)
Au (0.5000, 0.2411, 0.5000)
Au (0.5000, 0.7589, 0.5000)
Au (0.7500, 0.2412, 0.0013)
Au (0.7500, 0.7588, 0.0013)

Results
- ρ: 11.4 g/cm³
- SG: Pmma, No. 51
- D(E_F): 0.291 states/eV per atom
- Polymorph energy (0 for the lowest one): 0.0 meV/atom
- Energy of formation from the pure elements: -3.4 eV per formula unit
- Magnetic moment: 0.00 Bohr magnetons per cell

---

# 4
Material: VGe2W
Method: DFT, PBE
State: optimized geometry

Cell lengths 7.9686, 7.9686, 5.2371 Å; angles 90.00, 90.00, 157.01 degrees
Atoms (fractional coordinates):
V (0.1250, 0.8750, 0.5000)
V (0.8750, 0.1250, 0.0000)
Ge (0.1074, 0.8926, 0.9990)
Ge (0.2629, 0.7371, 0.2055)
Ge (0.7371, 0.2629, 0.7055)
Ge (0.8926, 0.1074, 0.4990)
W (0.4942, 0.5058, 0.7717)
W (0.5058, 0.4942, 0.2717)

Results
- ρ: 9.7 g/cm³
- SG: Cmc2_1, No. 36
- D(E_F): 0.449 states/eV per atom
- Energy of formation from the pure elements: 0.3 eV per formula unit
- Magnetic moment: 0.00 Bohr magnetons per cell

---

# 5
Material: PmSmTm2
Method: DFT, PBE
State: optimized geometry

Cell lengths 8.4599, 3.6278, 8.4678 Å; angles 90.00, 95.35, 90.00 degrees
Atoms (fractional coordinates):
Pm (0.1661, 0.2500, 0.0852)
Pm (0.8339, 0.7500, 0.9148)
Sm (0.3345, 0.7500, 0.4159)
Sm (0.6655, 0.2500, 0.5841)
Tm (0.0841, 0.2500, 0.6659)
Tm (0.4161, 0.7500, 0.8332)
Tm (0.5839, 0.2500, 0.1668)
Tm (0.9159, 0.7500, 0.3341)

Results
- ρ: 8.1 g/cm³
- SG: P2_1/m, No. 11
- D(E_F): 1.864 states/eV per atom
- Polymorph energy (0 for the lowest one): 6.6 meV/atom
- Energy of formation from the pure elements: 0.1 eV per formula unit
- Magnetic moment: 0.00 Bohr magnetons per cell

---

# 6
Material: Li3PaF8
Method: DFT, PBE
State: optimized geometry

Cell lengths 4.6335, 4.6335, 6.1048 Å; angles 90.00, 90.00, 120.00 degrees
Atoms (fractional coordinates):
Li (0.0000, 0.0000, 0.0000)
Li (0.3333, 0.6667, 0.0000)
Li (0.6667, 0.3333, 0.0000)
Pa (0.0000, 0.0000, 0.5000)
F (0.0000, 0.3037, 0.8039)
F (0.0000, 0.6963, 0.1961)
F (0.3037, 0.0000, 0.8039)
F (0.3037, 0.3037, 0.1961)
F (0.3333, 0.6667, 0.5000)
F (0.6667, 0.3333, 0.5000)
F (0.6963, 0.0000, 0.1961)
F (0.6963, 0.6963, 0.8039)

Results
- ρ: 5.9 g/cm³
- SG: P-31m, No. 162
- D(E_F): 0.000 states/eV per atom
- Polymorph energy (0 for the lowest one): 255.3 meV/atom
- Magnetic moment: 0.06 Bohr magnetons per cell
- E_form (uncorrected): -3.085 eV per atom

---

# 7
Material: HfMnN2
Method: DFT, PBE
State: optimized geometry

Cell lengths 5.8383, 5.8383, 5.8383 Å; angles 132.67, 132.67, 69.17 degrees
Atoms (fractional coordinates):
Hf (0.0000, 0.0000, 0.0000)
Hf (0.7500, 0.2500, 0.5000)
Mn (0.2500, 0.7500, 0.5000)
Mn (0.5000, 0.5000, 0.0000)
N (0.1355, 0.6250, 0.0105)
N (0.3750, 0.3855, 0.5105)
N (0.6145, 0.1250, 0.9895)
N (0.8750, 0.8645, 0.4895)

Results
- ρ: 8.2 g/cm³
- SG: I-42d, No. 122
- D(E_F): 0.669 states/eV per atom
- Magnetic moment: 7.23 Bohr magnetons per cell
- E_form (uncorrected): -0.856 eV per atom

---

# 8
Material: Nd2PuMnN5
Method: DFT, PBE
State: optimized geometry

Cell lengths 7.1310, 7.1310, 10.3917 Å; angles 90.00, 90.00, 152.00 degrees
Atoms (fractional coordinates):
Nd (0.1086, 0.8914, 0.5000)
Nd (0.1342, 0.8658, 0.1093)
Nd (0.8658, 0.1342, 0.6093)
Nd (0.8914, 0.1086, 0.0000)
Pu (0.2056, 0.7944, 0.8145)
Pu (0.7944, 0.2056, 0.3145)
Mn (0.4920, 0.5080, 0.2739)
Mn (0.5080, 0.4920, 0.7739)
N (0.0421, 0.9579, 0.8402)
N (0.2857, 0.7143, 0.4507)
N (0.3114, 0.6886, 0.1850)
N (0.3746, 0.6254, 0.8139)
N (0.4918, 0.5082, 0.5993)
N (0.5082, 0.4918, 0.0993)
N (0.6254, 0.3746, 0.3139)
N (0.6886, 0.3114, 0.6850)
N (0.7143, 0.2857, 0.9507)
N (0.9579, 0.0421, 0.3402)

Results
- ρ: 8.8 g/cm³
- SG: Cmc2_1, No. 36
- D(E_F): 0.687 states/eV per atom
- Magnetic moment: 12.03 Bohr magnetons per cell
- E_form (uncorrected): -0.978 eV per atom

---

# 9
Material: Ba2In2As2O
Method: DFT, PBE
State: optimized geometry

Cell lengths 4.3389, 7.2294, 7.3802 Å; angles 63.60, 73.08, 72.76 degrees
Atoms (fractional coordinates):
Ba (0.0596, 0.1812, 0.2020)
Ba (0.9404, 0.8188, 0.7980)
In (0.3066, 0.2865, 0.5985)
In (0.6934, 0.7135, 0.4015)
As (0.3417, 0.6193, 0.1985)
As (0.6583, 0.3807, 0.8015)
O (0.5000, 0.0000, 0.5000)

Results
- ρ: 5.7 g/cm³
- SG: P-1, No. 2
- D(E_F): 0.291 states/eV per atom
- Magnetic moment: 0.00 Bohr magnetons per cell
- E_form (uncorrected): -0.957 eV per atom

---

# 10
Material: Cs2RbTl2
Method: DFT, PBE
State: optimized geometry

Cell lengths 15.4410, 15.4410, 15.4410 Å; angles 162.61, 162.61, 24.68 degrees
Atoms (fractional coordinates):
Cs (0.1382, 0.1382, 0.0000)
Cs (0.8618, 0.8618, 0.0000)
Rb (0.5000, 0.5000, 0.0000)
Tl (0.2500, 0.7500, 0.5000)
Tl (0.7500, 0.2500, 0.5000)

Results
- ρ: 3.8 g/cm³
- SG: I4/mmm, No. 139
- D(E_F): 0.669 states/eV per atom
- Polymorph energy (0 for the lowest one): 58.8 meV/atom
- Energy of formation from the pure elements: 0.1 eV per formula unit
- Magnetic moment: 0.00 Bohr magnetons per cell

---

# 11
Material: CuP2Pb
Method: DFT, PBE
State: optimized geometry

Cell lengths 4.4307, 3.7489, 5.0153 Å; angles 90.00, 103.36, 90.00 degrees
Atoms (fractional coordinates):
Cu (0.0000, 0.0000, 0.0000)
P (0.2618, 0.5000, 0.8761)
P (0.7382, 0.5000, 0.1239)
Pb (0.5000, 0.0000, 0.5000)

Results
- ρ: 6.8 g/cm³
- SG: P2/m, No. 10
- D(E_F): 0.374 states/eV per atom
- Energy of formation from the pure elements: 0.3 eV per formula unit
- Magnetic moment: 0.00 Bohr magnetons per cell

---

# 12
Material: UTl2I4O2
Method: DFT, PBE
State: optimized geometry

Cell lengths 7.6808, 7.6808, 6.2434 Å; angles 92.91, 92.91, 67.03 degrees
Atoms (fractional coordinates):
U (0.0000, 0.0000, 0.0000)
Tl (0.3463, 0.3463, 0.2134)
Tl (0.6537, 0.6537, 0.7866)
I (0.1337, 0.6159, 0.7521)
I (0.3841, 0.8663, 0.2479)
I (0.6159, 0.1337, 0.7521)
I (0.8663, 0.3841, 0.2479)
O (0.0983, 0.0983, 0.8069)
O (0.9017, 0.9017, 0.1931)

Results
- ρ: 5.8 g/cm³
- SG: C2/m, No. 12
- Magnetic moment: 0.00 Bohr magnetons per cell
- E_form (uncorrected): -1.371 eV per atom

---

# 13
Material: AlZn2Cl
Method: DFT, PBE
State: optimized geometry

Cell lengths 3.1862, 3.1862, 7.1713 Å; angles 90.00, 90.00, 90.00 degrees
Atoms (fractional coordinates):
Al (0.0000, 0.0000, 0.0000)
Zn (0.5000, 0.5000, 0.2288)
Zn (0.5000, 0.5000, 0.7712)
Cl (0.0000, 0.0000, 0.5000)

Results
- ρ: 4.4 g/cm³
- SG: P4/mmm, No. 123
- D(E_F): 0.147 states/eV per atom
- Polymorph energy (0 for the lowest one): 95.2 meV/atom
- Magnetic moment: 0.00 Bohr magnetons per cell
- E_form (uncorrected): -0.050 eV per atom

---

# 14
Material: Li2SbTe
Method: DFT, PBE
State: optimized geometry

Cell lengths 3.9746, 3.9746, 5.7651 Å; angles 90.00, 90.00, 90.00 degrees
Atoms (fractional coordinates):
Li (0.0000, 0.0000, 0.0000)
Li (0.5000, 0.5000, 0.3277)
Sb (0.0000, 0.0000, 0.5090)
Te (0.5000, 0.5000, 0.8358)

Results
- ρ: 4.8 g/cm³
- SG: P4mm, No. 99
- D(E_F): 0.386 states/eV per atom
- Polymorph energy (0 for the lowest one): 189.9 meV/atom
- Magnetic moment: 0.00 Bohr magnetons per cell
- E_form (uncorrected): -0.324 eV per atom

---

# 15
Material: Sr2PtBr
Method: DFT, PBE
State: optimized geometry

Cell lengths 4.3610, 4.3610, 8.2955 Å; angles 105.15, 105.15, 59.95 degrees
Atoms (fractional coordinates):
Sr (0.2369, 0.2369, 0.2109)
Sr (0.7631, 0.7631, 0.7891)
Pt (0.5000, 0.5000, 0.0000)
Br (0.0000, 0.0000, 0.5000)

Results
- ρ: 5.7 g/cm³
- SG: C2/m, No. 12
- D(E_F): 0.490 states/eV per atom
- Polymorph energy (0 for the lowest one): 0.0 meV/atom
- Magnetic moment: 0.00 Bohr magnetons per cell
- E_form (uncorrected): -1.245 eV per atom

---

# 16
Material: BaLiTl2Ag
Method: DFT, PBE
State: optimized geometry

Cell lengths 5.5798, 5.5798, 5.1239 Å; angles 90.00, 90.00, 90.00 degrees
Atoms (fractional coordinates):
Ba (0.0000, 0.0000, 0.0000)
Li (0.5000, 0.5000, 0.0000)
Tl (0.0000, 0.5000, 0.5000)
Tl (0.5000, 0.0000, 0.5000)
Ag (0.5000, 0.5000, 0.5000)

Results
- ρ: 6.9 g/cm³
- SG: P4/mmm, No. 123
- D(E_F): 0.940 states/eV per atom
- Polymorph energy (0 for the lowest one): 67.8 meV/atom
- Energy of formation from the pure elements: -0.4 eV per formula unit
- Magnetic moment: 0.00 Bohr magnetons per cell

---

# 17
Material: KNa2LaI6
Method: DFT, PBE
State: optimized geometry

Cell lengths 8.9475, 8.9475, 8.9475 Å; angles 55.09, 55.09, 55.09 degrees
Atoms (fractional coordinates):
K (0.0000, 0.0000, 0.0000)
Na (0.2970, 0.2970, 0.2970)
Na (0.8076, 0.8076, 0.8076)
La (0.4871, 0.4871, 0.4871)
I (0.0818, 0.6702, 0.4384)
I (0.2220, 0.5688, 0.8854)
I (0.4384, 0.0818, 0.6702)
I (0.5688, 0.8854, 0.2220)
I (0.6702, 0.4384, 0.0818)
I (0.8854, 0.2220, 0.5688)

Results
- ρ: 3.6 g/cm³
- SG: R3, No. 146
- D(E_F): 0.000 states/eV per atom
- Magnetic moment: 0.00 Bohr magnetons per cell
- E_form (uncorrected): -1.400 eV per atom

---

# 18
Material: Ca2UTcO6
Method: DFT, PBE
State: optimized geometry

Cell lengths 5.8786, 5.8786, 4.2552 Å; angles 90.00, 90.00, 90.00 degrees
Atoms (fractional coordinates):
Ca (0.0000, 0.5000, 0.0000)
Ca (0.5000, 0.0000, 0.0000)
U (0.0000, 0.0000, 0.6261)
Tc (0.5000, 0.5000, 0.6655)
O (0.0000, 0.0000, 0.1351)
O (0.2542, 0.2542, 0.6875)
O (0.2542, 0.7458, 0.6875)
O (0.5000, 0.5000, 0.1685)
O (0.7458, 0.2542, 0.6875)
O (0.7458, 0.7458, 0.6875)

Results
- ρ: 5.8 g/cm³
- SG: P4mm, No. 99
- D(E_F): 0.412 states/eV per atom
- Magnetic moment: 3.08 Bohr magnetons per cell
- E_form (uncorrected): -2.453 eV per atom

---

# 19
Material: Tb2AlHg
Method: DFT, PBE
State: optimized geometry

Cell lengths 5.2298, 5.2298, 5.2298 Å; angles 60.00, 60.00, 60.00 degrees
Atoms (fractional coordinates):
Tb (0.2500, 0.2500, 0.2500)
Tb (0.7500, 0.7500, 0.7500)
Al (0.0000, 0.0000, 0.0000)
Hg (0.5000, 0.5000, 0.5000)

Results
- ρ: 9.0 g/cm³
- SG: Fm-3m, No. 225
- D(E_F): 1.147 states/eV per atom
- Polymorph energy (0 for the lowest one): 36.7 meV/atom
- Energy of formation from the pure elements: -1.6 eV per formula unit
- Magnetic moment: 0.00 Bohr magnetons per cell

---

# 20
Material: Th2ZrZn
Method: DFT, PBE
State: optimized geometry

Cell lengths 5.2981, 5.2981, 5.2981 Å; angles 60.00, 60.00, 60.00 degrees
Atoms (fractional coordinates):
Th (0.2500, 0.2500, 0.2500)
Th (0.7500, 0.7500, 0.7500)
Zr (0.0000, 0.0000, 0.0000)
Zn (0.5000, 0.5000, 0.5000)

Results
- ρ: 9.8 g/cm³
- SG: Fm-3m, No. 225
- D(E_F): 0.809 states/eV per atom
- Polymorph energy (0 for the lowest one): 55.0 meV/atom
- Energy of formation from the pure elements: 0.3 eV per formula unit
- Magnetic moment: 0.00 Bohr magnetons per cell